Entry 1:
The following is a PBE-GGA calculation of Zr2SiBr after structural relaxation, from the Alexandria database.

It has space group Pm (No. 6), with a = 3.180 Å, b = 5.207 Å, c = 4.984 Å, α = 90.00°, β = 98.43° and γ = 90.00°. The inequivalent atoms are Zr at (0.000, 0.000, 0.000), Zr at (0.285, 0.500, 0.622), Si at (0.712, 0.500, 0.126) and Br at (0.391, 0.000, 0.536).

Its formation energy (no corrections) is -361 meV per atom. The distance to the lowest polymorph of the same formula comes out at 281.0 meV/atom. Its crystal system is monoclinic.

---

Entry 2:
The following is a PBE-GGA calculation of TmMg9Ag2 after structural relaxation, from the Alexandria database.

It has space group I4_1/amd (No. 141, origin choice 2), with a = 11.907 Å, b = 11.907 Å, c = 7.545 Å, α = 90.00°, β = 90.00° and γ = 90.00°. The inequivalent atoms are Tm at (0.000, 0.250, 0.375), Mg at (0.000, 0.250, 0.875), Mg at (0.121, 0.052, 0.679) and Ag at (0.000, 0.000, 0.000).

Its crystal system is tetragonal. As for the electronic total energy: -101.6 eV per cell.

---

Entry 3:
The following is a PBE-GGA calculation of TbBH after structural relaxation, from the Alexandria database.

It has space group Fmmm (No. 69), with a = 3.165 Å, b = 7.401 Å, c = 13.335 Å, α = 90.00°, β = 90.00° and γ = 90.00°. The inequivalent atoms are Tb at (0.000, 0.000, 0.117), B at (0.250, 0.250, 0.250) and H at (0.000, 0.135, 0.500).

The distance to the lowest polymorph of the same formula comes out at 352.6 meV/atom. Its crystal system is orthorhombic.